A relaxed structure of Lu3Fe5O12. Source: Alexandria, functional PBE with a Hubbard U.

Structure (POSCAR):
```
Lu3Fe5O12
1.0
10.5683 0.0000 0.0000
-3.5228 9.9639 0.0000
-3.5228 -4.9819 8.6290
O Fe Lu
48 20 12
Cartesian
3.9925 0.1211 7.1223 O
4.3795 -2.7658 6.0875 O
7.2032 -1.6880 5.1727 O
-0.4697 4.8609 1.5067 O
-0.9047 -0.8181 4.9630 O
2.2311 5.1030 1.5067 O
-2.6660 4.1638 3.6660 O
1.6037 1.1447 0.2663 O
1.9191 -2.1493 5.4390 O
4.3795 3.5839 7.5044 O
-3.9925 1.3653 7.9805 O
-1.9191 1.6880 5.1727 O
0.9047 2.7658 6.0875 O
2.6181 2.2161 2.5415 O
3.3650 2.1493 5.4390 O
-1.2167 4.2658 6.8560 O
2.3061 4.3845 4.5808 O
-1.2916 1.2443 7.7708 O
0.9047 -3.5839 7.5044 O
-4.0674 3.6684 5.8212 O
4.7394 0.7161 1.7730 O
7.5153 6.2262 0.8582 O
8.2622 -1.3136 2.8078 O
4.4274 5.8000 3.6660 O
0.5447 -0.7161 1.7730 O
4.8144 6.3473 0.6485 O
7.5902 1.3136 2.8078 O
-3.9925 -1.2443 7.7708 O
2.6181 8.5658 1.1245 O
6.1888 0.8181 4.9630 O
-4.7394 6.2955 5.8212 O
7.5153 3.6166 0.6485 O
5.4418 3.2940 3.4563 O
1.2167 0.5974 4.0482 O
0.1577 8.8191 0.2663 O
1.9191 3.8372 8.3626 O
1.2916 -0.1211 7.1223 O
0.1577 2.8327 3.1900 O
-0.5447 5.5794 4.5808 O
-0.8567 1.3980 1.1245 O
1.6037 7.1312 3.1900 O
3.3650 -3.8372 8.3626 O
-3.6805 6.6699 3.4563 O
4.0674 -0.5974 4.0482 O
2.9781 5.6980 6.8560 O
4.8144 3.7377 0.8582 O
-0.8567 7.7477 2.5415 O
-1.2916 -1.3654 7.9805 O
5.2841 0.0000 0.0000 Fe
-0.8807 -3.1137 7.5503 Fe
0.8807 -0.6227 5.3931 Fe
-4.4034 3.1137 7.5503 Fe
7.9262 1.8682 1.0786 Fe
1.7614 2.4910 4.3145 Fe
4.4034 2.4910 2.1572 Fe
-1.7614 4.9819 0.0000 Fe
4.4034 0.6227 5.3931 Fe
-2.6421 7.4729 2.1572 Fe
-0.8807 2.4910 6.4717 Fe
-1.7614 -2.4910 4.3145 Fe
4.4034 8.0956 1.0786 Fe
3.5228 -2.4910 4.3145 Fe
0.0000 0.0000 0.0000 Fe
3.5228 4.9819 0.0000 Fe
2.6421 5.6047 3.2359 Fe
6.1648 -2.4910 6.4717 Fe
-3.5228 2.4910 4.3145 Fe
-0.8807 4.3592 3.2359 Fe
2.6421 1.8682 7.5503 Lu
-2.6421 5.6047 5.3931 Lu
6.1648 -0.6227 3.2359 Lu
0.8807 4.9819 6.4717 Lu
0.8807 6.8501 1.0786 Lu
2.6421 -1.8682 7.5503 Lu
4.4034 4.3592 5.3931 Lu
6.1648 4.9819 2.1572 Lu
-0.8807 0.6227 3.2359 Lu
2.6421 0.0000 2.1572 Lu
-2.6421 0.0000 6.4717 Lu
0.8807 3.1137 1.0786 Lu
```

Values from the calculation:
**Space-group type**: Ia-3d, No. 230
**Volume**: 227.2 Å³/f.u.
**Raw total energy**: -544.448 eV per cell